No. 1
Density functional theory data (PBE) for crystalline LaZn2SnRu at its relaxed geometry.

Cell lengths 5.495, 5.495, 5.931 Å; angles 90.00, 90.00, 90.00 degrees
Space group P4/mmm (No. 123)
One atom of each set of equivalent atoms:
La  0.000  0.000  0.000 (multiplicity 1)
Zn  0.000  0.500  0.000 (multiplicity 2)
Sn  0.000  0.000  0.500 (multiplicity 1)
Ru  0.500  0.500  0.500 (multiplicity 1)



No. 2
Density functional theory data (PBE) for crystalline Sr2LaRu at its relaxed geometry.

Values from the calculation:
ΔE to the lowest computed polymorph in eV/f.u.: 0.00

Cell lengths 3.876, 6.205, 11.924 Å; angles 90.00, 90.00, 90.00 degrees
Space group Imm2 (No. 44)
One atom of each set of equivalent atoms:
Sr  0.000  0.000  0.000 (multiplicity 2)
Sr  0.000  0.500  0.179 (multiplicity 2)
La  0.000  0.500  0.828 (multiplicity 2)
Ru  0.000  0.000  0.466 (multiplicity 2)



No. 3
Density functional theory data (PBE) for crystalline SrLaRu2 at its relaxed geometry.

Cell lengths 3.241, 4.457, 6.709 Å; angles 90.00, 100.73, 90.00 degrees
Space group P2/m (No. 10)
One atom of each set of equivalent atoms:
Sr  0.000  0.000  0.000 (multiplicity 1)
La  0.500  0.000  0.500 (multiplicity 1)
Ru  0.303  0.500  0.673 (multiplicity 2)



No. 4
Density functional theory data (PBE) for crystalline SrLaRu2 at its relaxed geometry.

Cell lengths 8.800, 3.383, 6.777 Å; angles 90.00, 99.56, 90.00 degrees
Space group C2/m (No. 12)
One atom of each set of equivalent atoms:
Sr  0.000  0.000  0.000 (multiplicity 2)
La  0.000  0.500  0.500 (multiplicity 2)
Ru  0.249  0.500  0.334 (multiplicity 4)



No. 5
Density functional theory data (PBE) for crystalline Sr2LaRu at its relaxed geometry.

Values from the calculation:
ΔE to the lowest computed polymorph in eV/f.u.: 1.53

Cell lengths 5.085, 5.131, 10.221 Å; angles 90.00, 90.00, 90.00 degrees
Space group Cmmm (No. 65)
One atom of each set of equivalent atoms:
Sr  0.000  0.000  0.174 (multiplicity 4)
La  0.000  0.500  0.500 (multiplicity 2)
Ru  0.000  0.500  0.000 (multiplicity 2)



No. 6
Density functional theory data (PBE) for crystalline SrLaRu2 at its relaxed geometry.

Cell lengths 7.008, 7.008, 7.008 Å; angles 90.00, 90.00, 90.00 degrees
Space group F-43m (No. 216)
One atom of each set of equivalent atoms:
Sr  0.000  0.000  0.000 (multiplicity 4)
La  0.250  0.250  0.750 (multiplicity 4)
Ru  0.000  0.000  0.500 (multiplicity 4)
Ru  0.250  0.250  0.250 (multiplicity 4)



No. 7
Density functional theory data (PBE) for crystalline SrLaRu2 at its relaxed geometry.

Cell lengths 3.531, 3.531, 7.327 Å; angles 90.00, 90.00, 90.00 degrees
Space group P4/mmm (No. 123)
One atom of each set of equivalent atoms:
Sr  0.000  0.000  0.000 (multiplicity 1)
La  0.000  0.000  0.500 (multiplicity 1)
Ru  0.500  0.500  0.291 (multiplicity 2)



No. 8
Density functional theory data (PBE) for crystalline Sr2LaRu at its relaxed geometry.

Values from the calculation:
ΔE to the lowest computed polymorph in eV/f.u.: 1.56

Cell lengths 4.606, 4.606, 5.634 Å; angles 90.00, 90.00, 90.00 degrees
Space group P4/mmm (No. 123)
One atom of each set of equivalent atoms:
Sr  0.000  0.500  0.000 (multiplicity 2)
La  0.000  0.000  0.500 (multiplicity 1)
Ru  0.500  0.500  0.500 (multiplicity 1)



No. 9
Density functional theory data (PBE) for crystalline SrLa2Ru at its relaxed geometry.

Values from the calculation:
ΔE to the lowest computed polymorph in eV/f.u.: 0.03

Cell lengths 4.1921, 4.1921, 29.8705 Å; angles 90.00, 90.00, 120.00 degrees
Space group R-3m (No. 166, hexagonal axes)
One atom of each set of equivalent atoms:
Sr  0.0000  0.0000  0.0000 (multiplicity 3)
La  0.0000  0.0000  0.2166 (multiplicity 6)
Ru  0.0000  0.0000  0.5000 (multiplicity 3)



No. 10
Density functional theory data (PBE) for crystalline Sr2LaRu at its relaxed geometry.

Values from the calculation:
ΔE to the lowest computed polymorph in eV/f.u.: 2.21

Cell lengths 7.807, 7.807, 7.807 Å; angles 90.00, 90.00, 90.00 degrees
Space group Fm-3m (No. 225)
One atom of each set of equivalent atoms:
Sr  0.250  0.250  0.250 (multiplicity 8)
La  0.000  0.000  0.000 (multiplicity 4)
Ru  0.000  0.000  0.500 (multiplicity 4)



No. 11
Density functional theory data (PBE) for crystalline SrLa2Ru2 at its relaxed geometry.

Values from the calculation:
ΔE to the lowest computed polymorph in eV/f.u.: 0.38

Cell lengths 8.609, 8.609, 3.356 Å; angles 90.00, 90.00, 90.00 degrees
Space group P4/mbm (No. 127)
One atom of each set of equivalent atoms:
Sr  0.000  0.000  0.000 (multiplicity 2)
La  0.137  0.363  0.000 (multiplicity 4)
Ru  0.170  0.670  0.500 (multiplicity 4)



No. 12
Density functional theory data (PBE) for crystalline Sr2La2Ru at its relaxed geometry.

Values from the calculation:
ΔE to the lowest computed polymorph in eV/f.u.: 3.57

Cell lengths 4.208, 4.208, 19.998 Å; angles 90.00, 90.00, 90.00 degrees
Space group I4/mmm (No. 139)
One atom of each set of equivalent atoms:
Sr  0.000  0.500  0.250 (multiplicity 4)
La  0.000  0.000  0.076 (multiplicity 4)
Ru  0.000  0.000  0.500 (multiplicity 2)



No. 13
Density functional theory data (PBE) for crystalline SrLaRu2 at its relaxed geometry.

Cell lengths 4.172, 4.172, 10.191 Å; angles 90.00, 90.00, 90.00 degrees
Space group I-4m2 (No. 119)
One atom of each set of equivalent atoms:
Sr  0.000  0.000  0.000 (multiplicity 2)
La  0.000  0.500  0.750 (multiplicity 2)
Ru  0.000  0.000  0.500 (multiplicity 2)
Ru  0.000  0.500  0.250 (multiplicity 2)



No. 14
Density functional theory data (PBE) for crystalline SrLaRu2 at its relaxed geometry.

Cell lengths 4.356, 4.595, 10.970 Å; angles 90.00, 90.00, 90.00 degrees
Space group Amm2 (No. 38)
One atom of each set of equivalent atoms:
Sr  0.000  0.000  0.000 (multiplicity 2)
La  0.500  0.000  0.282 (multiplicity 2)
Ru  0.000  0.000  0.703 (multiplicity 2)
Ru  0.500  0.000  0.614 (multiplicity 2)



| no. | size of the total moment (Bohr magnetons per cell) | energy relative to the elements (eV per atom) |
| --- | --- | --- |
| 1 | 2.123 | 1.635 |
| 2 | 0.000 | 0.042 |
| 3 | 0.000 | 0.274 |
| 4 | 0.000 | 0.317 |
| 5 | 0.005 | 0.424 |
| 6 | 1.251 | 0.582 |
| 7 | 0.000 | 0.283 |
| 8 | 0.000 | 0.433 |
| 9 | 0.000 | -0.169 |
| 10 | 0.000 | 0.593 |
| 11 | 0.000 | 0.088 |
| 12 | 0.057 | 0.785 |
| 13 | 0.000 | 0.497 |
| 14 | 0.000 | 0.041 |